PrYF5 after structural relaxation. Source: Alexandria, functional PBE.

Cell lengths 6.120, 6.120, 8.243 Å; angles 70.69, 70.69, 72.39 degrees
Positions (direct):
Pr: 0.494 0.506 0.750
Pr: 0.506 0.494 0.250
F: 0.153 0.847 0.750
F: 0.250 0.237 0.378
F: 0.324 0.678 0.489
F: 0.847 0.153 0.250
F: 0.322 0.676 0.011
F: 0.237 0.250 0.878
F: 0.676 0.322 0.511
F: 0.763 0.750 0.122
F: 0.750 0.763 0.622
F: 0.678 0.324 0.989
Y: 0.000 0.000 0.500
Y: 0.000 0.000 0.000

Output
- ΔE_f (raw): -3775.9 meV/atom
- Total moment: 0.0 μB per formula unit
- Symmetry: C2/c (15)